# PBE with a Hubbard U La2CrAgO6, optimized geometry
# VASP energy (eV per cell): -71.08
# Calculated density (kg/m³): 5814
data_La2CrAgO6
_cell_length_a 5.489
_cell_length_b 5.489
_cell_length_c 5.059
_cell_angle_alpha 90.00
_cell_angle_beta 90.00
_cell_angle_gamma 90.00
_symmetry_space_group_name_H-M 'P 4 m m'
_symmetry_Int_Tables_number 99
loop_
_symmetry_equiv_pos_as_xyz
'x,y,z'
'-y,x,z'
'-x,-y,z'
'y,-x,z'
'-x,y,z'
'y,x,z'
'x,-y,z'
'-y,-x,z'
loop_
_atom_site_label
_atom_site_type_symbol
_atom_site_fract_x
_atom_site_fract_y
_atom_site_fract_z
La1 La 0.000 0.500 0.000
Cr1 Cr 0.000 0.000 0.600
Ag1 Ag 0.500 0.500 0.523
O1 O 0.000 0.000 0.259
O2 O 0.223 0.223 0.730
O3 O 0.500 0.500 0.099